# 1
# Er2Tm3Pb2, optimized geometry, DFT PBE
data_Er2Tm3Pb2
_space_group_name_H-M_alt 'C 1 2/m 1'
_space_group_IT_number 12
_cell_length_a 11.855
_cell_length_b 4.435
_cell_length_c 8.385
_cell_angle_alpha 90.00
_cell_angle_beta 109.41
_cell_angle_gamma 90.00
loop_
_space_group_symop_operation_xyz
'x,y,z'
'-x,-y,-z'
'-x,y,-z'
'x,-y,z'
'x+1/2,y+1/2,z'
'-x+1/2,-y+1/2,-z'
'-x+1/2,y+1/2,-z'
'x+1/2,-y+1/2,z'
loop_
_atom_site_label
_atom_site_type_symbol
_atom_site_fract_x
_atom_site_fract_y
_atom_site_fract_z
Er1 Er 0.127 0.000 0.274
Tm1 Tm 0.000 0.500 0.500
Tm2 Tm 0.123 0.500 0.937
Pb1 Pb 0.176 0.000 0.693
# * V: 416 Å³/cell
# * crystal system: monoclinic
# * mass density: 10.03 g/cm³
# * ΔH_f (0 K): -0.283 eV per atom
# * D(E_F): 14.12 states/eV per cell
# * calculated total energy: -4.5622 eV/atom

# 2
# Er8TmPb2, optimized geometry, DFT PBE
data_Er8TmPb2
_space_group_name_H-M_alt 'C 1 2/m 1'
_space_group_IT_number 12
_cell_length_a 8.741
_cell_length_b 15.137
_cell_length_c 5.661
_cell_angle_alpha 90.00
_cell_angle_beta 115.85
_cell_angle_gamma 90.00
loop_
_space_group_symop_operation_xyz
'x,y,z'
'-x,-y,-z'
'-x,y,-z'
'x,-y,z'
'x+1/2,y+1/2,z'
'-x+1/2,-y+1/2,-z'
'-x+1/2,y+1/2,-z'
'x+1/2,-y+1/2,z'
loop_
_atom_site_label
_atom_site_type_symbol
_atom_site_fract_x
_atom_site_fract_y
_atom_site_fract_z
Er1 Er 0.000 0.216 0.000
Er2 Er 0.094 0.500 0.799
Er3 Er 0.209 0.112 0.622
Tm1 Tm 0.000 0.000 0.000
Pb1 Pb 0.000 0.306 0.500
# * V: 674 Å³/cell
# * crystal system: monoclinic
# * mass density: 9.47 g/cm³
# * ΔH_f (0 K): -0.053 eV per atom
# * D(E_F): 31.17 states/eV per cell
# * calculated total energy: -4.4521 eV/atom

# 3
# Er4TmPb3, optimized geometry, DFT PBE
data_Er4TmPb3
_space_group_name_H-M_alt 'I 4/m c m'
_space_group_IT_number 140
_space_group_name_Hall '-I 4 2c'
_cell_length_a 12.007
_cell_length_b 12.007
_cell_length_c 6.292
_cell_angle_alpha 90.00
_cell_angle_beta 90.00
_cell_angle_gamma 90.00
loop_
_atom_site_label
_atom_site_type_symbol
_atom_site_fract_x
_atom_site_fract_y
_atom_site_fract_z
Er1 Er 0.079 0.221 0.000
Tm1 Tm 0.000 0.500 0.250
Pb1 Pb 0.000 0.000 0.250
Pb2 Pb 0.164 0.336 0.500
# * V: 907 Å³/cell
# * crystal system: tetragonal
# * mass density: 10.69 g/cm³
# * ΔH_f (0 K): -0.447 eV per atom
# * D(E_F): 33.18 states/eV per cell
# * calculated total energy: -4.6780 eV/atom

# 4
# Er2Tm5Pb5, optimized geometry, DFT PBE
data_Er2Tm5Pb5
_space_group_name_H-M_alt 'C 1 2/m 1'
_space_group_IT_number 12
_cell_length_a 13.075
_cell_length_b 4.888
_cell_length_c 11.833
_cell_angle_alpha 90.00
_cell_angle_beta 111.53
_cell_angle_gamma 90.00
loop_
_space_group_symop_operation_xyz
'x,y,z'
'-x,-y,-z'
'-x,y,-z'
'x,-y,z'
'x+1/2,y+1/2,z'
'-x+1/2,-y+1/2,-z'
'-x+1/2,y+1/2,-z'
'x+1/2,-y+1/2,z'
loop_
_atom_site_label
_atom_site_type_symbol
_atom_site_fract_x
_atom_site_fract_y
_atom_site_fract_z
Er1 Er 0.080 0.000 0.261
Tm1 Tm 0.000 0.500 0.000
Tm2 Tm 0.151 0.500 0.800
Tm3 Tm 0.152 0.500 0.508
Pb1 Pb 0.000 0.000 0.500
Pb2 Pb 0.134 0.000 0.972
Pb3 Pb 0.235 0.500 0.287
# * V: 704 Å³/cell
# * crystal system: monoclinic
# * mass density: 10.46 g/cm³
# * ΔH_f (0 K): -0.321 eV per atom
# * D(E_F): 18.08 states/eV per cell
# * calculated total energy: -4.4901 eV/atom

# 5
# Er3TmPb4, optimized geometry, DFT PBE
data_Er3TmPb4
_space_group_name_H-M_alt 'P m n 21'
_space_group_IT_number 31
_cell_length_a 11.071
_cell_length_b 6.362
_cell_length_c 6.362
_cell_angle_alpha 90.00
_cell_angle_beta 90.00
_cell_angle_gamma 90.00
loop_
_space_group_symop_operation_xyz
'x,y,z'
'-x+1/2,-y,z+1/2'
'-x,y,z'
'x+1/2,-y,z+1/2'
loop_
_atom_site_label
_atom_site_type_symbol
_atom_site_fract_x
_atom_site_fract_y
_atom_site_fract_z
Er1 Er 0.000 0.001 0.000
Er2 Er 0.250 0.251 0.750
Tm1 Tm 0.000 0.500 0.501
Pb1 Pb 0.000 0.000 0.500
Pb2 Pb 0.000 0.500 0.000
Pb3 Pb 0.250 0.250 0.250
# * V: 448 Å³/cell
# * crystal system: orthorhombic
# * mass density: 11.11 g/cm³
# * ΔH_f (0 K): -0.409 eV per atom
# * D(E_F): 9.65 states/eV per cell
# * calculated total energy: -4.5327 eV/atom

# 6
# Er5Tm4Pb, optimized geometry, DFT PBE
data_Er5Tm4Pb
_space_group_name_H-M_alt 'I 4 m m'
_space_group_IT_number 107
_space_group_name_Hall 'I 4 -2'
_cell_length_a 10.525
_cell_length_b 10.525
_cell_length_c 5.752
_cell_angle_alpha 90.00
_cell_angle_beta 90.00
_cell_angle_gamma 90.00
loop_
_atom_site_label
_atom_site_type_symbol
_atom_site_fract_x
_atom_site_fract_y
_atom_site_fract_z
Er1 Er 0.000 0.000 0.000
Er2 Er 0.188 0.188 0.283
Tm1 Tm 0.000 0.318 0.788
Pb1 Pb 0.000 0.000 0.515
# * V: 637 Å³/cell
# * crystal system: tetragonal
# * mass density: 8.96 g/cm³
# * ΔE to the lowest computed polymorph: 59 meV per atom
# * ΔH_f (0 K): 0.136 eV per atom
# * D(E_F): 22.98 states/eV per cell
# * calculated total energy: -4.3053 eV/atom

# 7
# Er4Tm4Pb, optimized geometry, DFT PBE
data_Er4Tm4Pb
_space_group_name_H-M_alt 'I 4/m m m'
_space_group_IT_number 139
_space_group_name_Hall '-I 4 2'
_cell_length_a 10.565
_cell_length_b 10.565
_cell_length_c 4.790
_cell_angle_alpha 90.00
_cell_angle_beta 90.00
_cell_angle_gamma 90.00
loop_
_atom_site_label
_atom_site_type_symbol
_atom_site_fract_x
_atom_site_fract_y
_atom_site_fract_z
Er1 Er 0.163 0.163 0.000
Tm1 Tm 0.000 0.338 0.500
Pb1 Pb 0.000 0.000 0.500
# * V: 535 Å³/cell
# * crystal system: tetragonal
# * mass density: 9.64 g/cm³
# * ΔE to the lowest computed polymorph: 0 meV per atom
# * ΔH_f (0 K): -0.087 eV per atom
# * D(E_F): 28.10 states/eV per cell
# * calculated total energy: -4.5145 eV/atom

# 8
# Er4Tm2Pb, optimized geometry, DFT PBE
data_Er4Tm2Pb
_space_group_name_H-M_alt 'P 1 21/m 1'
_space_group_IT_number 11
_cell_length_a 5.513
_cell_length_b 6.761
_cell_length_c 11.625
_cell_angle_alpha 90.00
_cell_angle_beta 103.60
_cell_angle_gamma 90.00
loop_
_space_group_symop_operation_xyz
'x,y,z'
'-x,-y,-z'
'-x,y+1/2,-z'
'x,-y+1/2,z'
loop_
_atom_site_label
_atom_site_type_symbol
_atom_site_fract_x
_atom_site_fract_y
_atom_site_fract_z
Er1 Er 0.075 0.250 0.143
Er2 Er 0.211 0.750 0.418
Er3 Er 0.354 0.511 0.710
Tm1 Tm 0.217 0.250 0.436
Tm2 Tm 0.495 0.250 0.980
Pb1 Pb 0.068 0.750 0.146
# * V: 421 Å³/cell
# * crystal system: monoclinic
# * mass density: 9.58 g/cm³
# * ΔE to the lowest computed polymorph: 0 meV per atom
# * ΔH_f (0 K): -0.046 eV per atom
# * D(E_F): 21.44 states/eV per cell
# * calculated total energy: -4.4609 eV/atom

- Which of these has the highest V?
  Er4TmPb3

- Which value of calculated total energy does entry 3 give?
  -4.6780 eV/atom

What did the second record say?
# Er8TmPb2, optimized geometry, DFT PBE
data_Er8TmPb2
_space_group_name_H-M_alt 'C 1 2/m 1'
_space_group_IT_number 12
_cell_length_a 8.741
_cell_length_b 15.137
_cell_length_c 5.661
_cell_angle_alpha 90.00
_cell_angle_beta 115.85
_cell_angle_gamma 90.00
loop_
_space_group_symop_operation_xyz
'x,y,z'
'-x,-y,-z'
'-x,y,-z'
'x,-y,z'
'x+1/2,y+1/2,z'
'-x+1/2,-y+1/2,-z'
'-x+1/2,y+1/2,-z'
'x+1/2,-y+1/2,z'
loop_
_atom_site_label
_atom_site_type_symbol
_atom_site_fract_x
_atom_site_fract_y
_atom_site_fract_z
Er1 Er 0.000 0.216 0.000
Er2 Er 0.094 0.500 0.799
Er3 Er 0.209 0.112 0.622
Tm1 Tm 0.000 0.000 0.000
Pb1 Pb 0.000 0.306 0.500
# * V: 674 Å³/cell
# * crystal system: monoclinic
# * mass density: 9.47 g/cm³
# * ΔH_f (0 K): -0.053 eV per atom
# * D(E_F): 31.17 states/eV per cell
# * calculated total energy: -4.4521 eV/atom

- Which value of D(E_F) does entry 2 give?
  31.17 states/eV per cell